A relaxed Be4ZnP crystal, computed with PBE-GGA.

The energy of formation from the pure elements comes out at 0.304 eV/atom.

The space group is F-43m (No. 216) and the conventional cell measures 6.290, 6.290 and 6.290 Å, with angles of 90.00, 90.00 and 90.00 degrees. Symmetry generates all atoms from Be at (0.124, 0.124, 0.124), Zn at (0.250, 0.250, 0.750) and P at (0.000, 0.000, 0.500).

A relaxed MnCrTc crystal, computed with PBE-GGA.

The offset from the most stable computed form comes out at 608.5 meV per atom. The energy of formation from the pure elements comes out at 0.577 eV/atom.

The space group is F-43m (No. 216) and the conventional cell measures 5.543, 5.543 and 5.543 Å, with angles of 90.00, 90.00 and 90.00 degrees. Symmetry generates all atoms from Mn at (0.000, 0.000, 0.000), Cr at (0.250, 0.250, 0.750) and Tc at (0.250, 0.250, 0.250).

A relaxed ZnInSe2 crystal, computed with PBE-GGA.

Its formation energy from raw total energies is 0.197 eV/atom.

The space group is F-43m (No. 216) and the conventional cell measures 7.038, 7.038 and 7.038 Å, with angles of 90.00, 90.00 and 90.00 degrees. Symmetry generates all atoms from Zn at (0.000, 0.000, 0.000), In at (0.250, 0.250, 0.750), Se at (0.000, 0.000, 0.500) and Se at (0.250, 0.250, 0.250).

A relaxed Ag2Pt2O7 crystal, computed with PBE-GGA.

Its formation energy from raw total energies is -0.301 eV/atom.

The space group is Fd-3m (No. 227, origin choice 2) and the conventional cell measures 10.198, 10.198 and 10.198 Å, with angles of 90.00, 90.00 and 90.00 degrees. Symmetry generates all atoms from Ag at (0.000, 0.000, 0.000), Pt at (0.000, 0.000, 0.500), O at (0.083, 0.375, 0.875) and O at (0.125, 0.125, 0.125).

Computed ρ, in the same sequence as the records: 3.54; 7.99; 6.44; 8.99 Mg/m³.